Entry 1:
! PBE PrZrS3, optimized geometry; values from VASP
&SYSTEM
  ibrav = 0, nat = 10, ntyp = 3
/
ATOMIC_SPECIES
S 32.06 S.upf
Zr 91.22 Zr.upf
Pr 140.91 Pr.upf
ATOMIC_POSITIONS crystal
S 0.7500 0.6936 0.0536
S 0.2500 0.6936 0.6399
S 0.2500 0.9464 0.3064
Zr 0.5000 0.6667 0.3333
S 0.2500 0.3601 0.0536
Pr 0.0000 0.0000 0.0000
Pr 0.5000 0.0000 0.0000
Zr 0.0000 0.6667 0.3333
S 0.7500 0.9464 0.6399
S 0.7500 0.3601 0.3064
CELL_PARAMETERS angstrom
-1.8059 -5.9818 -2.5134
-2.0078 -2.0170 6.2430
-4.4499 3.1071 -4.1975
! DOS at the Fermi energy	1.5	states/eV per cell
! energy above the most stable polymorph in this dataset	95	meV per atom
! ΔE_f (raw)	-1.681	eV per atom
! calculated volume	274.6	Å³ per cell

---

Entry 2:
! PBE PrZrS3, optimized geometry; values from VASP
&SYSTEM
  ibrav = 0, nat = 20, ntyp = 3
/
ATOMIC_SPECIES
Zr 91.22 Zr.upf
S 32.06 S.upf
Pr 140.91 Pr.upf
ATOMIC_POSITIONS crystal
Zr 0.7500 0.1703 0.4580
S 0.7500 0.6620 0.4612
S 0.7500 0.5098 0.8845
S 0.7500 0.0098 0.6155
Pr 0.2500 0.1268 0.1919
Zr 0.2500 0.3297 0.9580
Zr 0.2500 0.8297 0.5420
S 0.7500 0.1620 0.0388
S 0.7500 0.8370 0.2009
Pr 0.7500 0.3732 0.6919
S 0.2500 0.8380 0.9612
Pr 0.2500 0.6268 0.3081
S 0.2500 0.4902 0.1155
S 0.2500 0.1630 0.7991
Pr 0.7500 0.8732 0.8081
Zr 0.7500 0.6703 0.0420
S 0.2500 0.6630 0.7009
S 0.2500 0.9902 0.3845
S 0.7500 0.3370 0.2991
S 0.2500 0.3380 0.5388
CELL_PARAMETERS angstrom
-2.5312 2.4345 1.3707
0.4976 -3.6526 7.4061
10.3690 8.7448 3.6162
! DOS at the Fermi energy	10.4	states/eV per cell
! energy above the most stable polymorph in this dataset	0	meV per atom
! ΔE_f (raw)	-1.775	eV per atom
! calculated volume	437.8	Å³ per cell

---

- energy above the most stable polymorph in this dataset of number 2 (PrZrS3)?
  0 meV per atom